VASP calculation (PBE) on crystalline LaSbI2N at its relaxed geometry.

Calculated values
The formation energy from raw total energies comes out at 120 meV per atom. The density is 6.809 g/cm3.

```
5
Lattice="-0.3539 4.7966 -1.3517 -4.7552 -0.7304 -1.3468 -1.5408 1.2312 4.7723" Properties=species:S:1:pos:R:3 pbc="T T T"
N 0.0000 0.0000 0.0000
Sb -0.7704 0.6156 2.3861
I -0.1769 2.3983 -0.6758
I -2.3776 -0.3652 -0.6734
La -3.3249 2.6487 1.0369
```